Record 1
11
Lattice="-1.764 4.598 9.357 1.764 -4.598 9.357 1.764 4.598 -9.357" Properties=species:S:1:pos:R:3 comment="Pm4Ho3Al4 | Alexandria | PBE-GGA | optimized geometry" spacegroup="Immm (71)" final_energy_ev_per_atom=-4.56 vol_a3_per_cell=303.49 delta_e_f_ev_per_atom=-0.225 pbc="T T T"
Pm 1.764 -2.967 6.281
Pm 0.000 1.631 3.076
Pm 1.764 2.967 6.281
Pm 0.000 7.564 3.076
Ho 1.764 0.000 0.000
Ho 0.000 0.000 7.611
Ho 0.000 0.000 11.104
Al 1.764 0.000 5.168
Al 0.000 2.570 0.000
Al 0.000 6.626 0.000
Al 0.000 4.598 4.190

Record 2
5
Lattice="4.146 0.000 0.000 0.000 4.146 0.000 0.000 0.000 4.146" Properties=species:S:1:pos:R:3 comment="VCo3Ni | Alexandria | PBE-GGA | optimized geometry" polymorph_energy_kj_per_mol_atoms=79.0 spacegroup="Pm-3m (221)" final_energy_ev_per_atom=-6.02 vol_a3_per_cell=71.28 delta_e_f_ev_per_atom=1.228 pbc="T T T"
V 0.000 0.000 0.000
Co 0.000 0.000 2.073
Co 0.000 2.073 0.000
Co 2.073 0.000 0.000
Ni 2.073 2.073 2.073

Record 3
8
Lattice="2.110 -7.705 0.000 2.110 7.705 0.000 0.000 0.000 9.719" Properties=species:S:1:pos:R:3 comment="PmTeI2 | Alexandria | PBE-GGA | optimized geometry" formation_energy_uncorrected_ev_per_atom=-1.02 polymorph_energy_kj_per_mol_atoms=0.0 spacegroup="Cmcm (63)" final_energy_ev_per_atom=-3.77 vol_a3_per_cell=316.05 pbc="T T T"
Pm 2.110 3.917 7.290
Pm 2.110 -3.917 2.430
Te 2.110 1.539 2.430
Te 2.110 -1.539 7.290
I 2.110 5.459 0.561
I 2.110 5.459 4.299
I 2.110 -5.459 5.420
I 2.110 -5.459 9.159

Record 4
5
Lattice="4.894 0.000 0.000 0.000 4.894 0.000 0.000 0.000 4.894" Properties=species:S:1:pos:R:3 comment="InRh3S | Alexandria | PBE-GGA | optimized geometry" formation_energy_uncorrected_ev_per_atom=1.59 polymorph_energy_kj_per_mol_atoms=159.1 spacegroup="Pm-3m (221)" final_energy_ev_per_atom=-4.20 vol_a3_per_cell=117.22 pbc="T T T"
In 0.000 0.000 0.000
Rh 0.000 0.000 2.447
Rh 0.000 2.447 0.000
Rh 2.447 0.000 0.000
S 2.447 2.447 2.447

Record 5
4
Lattice="-1.714 2.447 4.684 1.714 -2.447 4.684 1.714 2.447 -4.684" Properties=species:S:1:pos:R:3 comment="Mg2ZrCu | Alexandria | PBE-GGA | optimized geometry" spacegroup="Imm2 (44)" final_energy_ev_per_atom=-3.85 vol_a3_per_cell=78.60 delta_e_f_ev_per_atom=0.107 pbc="T T T"
Mg 0.000 0.000 0.000
Mg 0.000 2.447 2.101
Zr 1.714 0.000 2.630
Cu 0.000 0.000 4.739

Record 6
5
Lattice="5.980 0.000 0.000 0.000 5.980 0.000 0.000 0.000 5.980" Properties=species:S:1:pos:R:3 comment="Ba3ZrOs | Alexandria | PBE-GGA | optimized geometry" polymorph_energy_kj_per_mol_atoms=0.0 spacegroup="Pm-3m (221)" final_energy_ev_per_atom=-4.10 vol_a3_per_cell=213.81 delta_e_f_ev_per_atom=1.010 pbc="T T T"
Ba 0.000 0.000 2.990
Ba 0.000 2.990 0.000
Ba 2.990 0.000 0.000
Zr 2.990 2.990 2.990
Os 0.000 0.000 0.000

Record 7
5
Lattice="4.845 0.000 0.000 0.000 4.845 0.000 0.000 0.000 4.703" Properties=species:S:1:pos:R:3 comment="SrCrRh2Au | Alexandria | PBE-GGA | optimized geometry" polymorph_energy_kj_per_mol_atoms=149.5 spacegroup="P4/mmm (123)" final_energy_ev_per_atom=-3.66 vol_a3_per_cell=110.39 delta_e_f_ev_per_atom=2.196 pbc="T T T"
Sr 0.000 0.000 0.000
Cr 0.000 0.000 2.352
Rh 0.000 2.422 0.000
Rh 2.422 0.000 0.000
Au 2.422 2.422 2.352

Record 8
6
Lattice="3.257 0.000 0.000 0.000 3.257 0.000 0.000 0.000 12.614" Properties=species:S:1:pos:R:3 comment="CaPu2Ge3 | Alexandria | PBE-GGA | optimized geometry" spacegroup="P4/mmm (123)" final_energy_ev_per_atom=-7.88 vol_a3_per_cell=133.78 delta_e_f_ev_per_atom=-0.457 pbc="T T T"
Ca 0.000 0.000 0.000
Pu 0.000 0.000 4.229
Pu 0.000 0.000 8.385
Ge 1.628 1.628 2.149
Ge 1.628 1.628 6.307
Ge 1.628 1.628 10.465